# 1
Ni3P11: optimized geometry, PBE-GGA.

POSCAR file:
```
Ni3P11
1.0
5.9455 -3.6237 0.0000
5.9455 3.6237 0.0000
-2.5701 0.0000 5.4278
Ni P
3 11
Direct
0.0000 0.0000 0.0000 Ni
0.2972 0.2972 0.8053 Ni
0.6089 0.6089 0.3907 Ni
0.0063 0.5165 0.9564 P
0.1231 0.1231 0.4330 P
0.2690 0.7757 0.4682 P
0.3014 0.8202 0.8701 P
0.5014 0.5014 0.9809 P
0.5165 0.0063 0.9564 P
0.6667 0.9801 0.3426 P
0.7757 0.2690 0.4682 P
0.7860 0.7860 0.7673 P
0.8202 0.3014 0.8701 P
0.9801 0.6667 0.3426 P
```

- Volume: 233.9 Å³ per cell
- Symmetry: No. 8
- Final energy: -5.5558 eV per atom

=====

# 2
ScFe2BP: optimized geometry, PBE-GGA.

POSCAR file:
```
ScFe2BP
1.0
-1.8159 1.8159 4.3830
1.8159 -1.8159 4.3830
1.8159 1.8159 -4.3830
Sc Fe B P
1 2 1 1
Direct
0.0000 0.0000 0.0000 Sc
0.2378 0.7378 0.5000 Fe
0.7378 0.2378 0.5000 Fe
0.6207 0.6207 0.0000 B
0.3763 0.3763 0.0000 P
```

- Volume: 57.8 Å³ per cell
- Symmetry: No. 107
- Final energy: -7.7517 eV per atom

=====

Look up the volume of the first one.
233.9 Å³ per cell